# 1
BaAcRuN2: optimized geometry, PBE.

Geometry as POSCAR:
```
BaAcRuN2
1.0
5.929 0.000 0.000
0.000 5.487 0.000
-0.020 0.000 7.543
Ba Ac Ru N
2 2 2 4
Cartesian
-0.005 0.010 1.886
-0.015 5.477 5.657
2.950 2.741 5.657
2.960 2.746 1.886
2.965 0.000 0.000
2.955 0.000 3.772
1.679 1.417 7.541
1.689 4.070 3.769
4.220 1.417 3.774
4.230 4.070 0.002
```

- Fermi-level density of states: 6.6 states/eV per cell
- Energy: -67.235 eV for the cell shown
- ρ: 6.68 g/cm3



# 2
Ba2Ac4Sb3N2: optimized geometry, PBE.

Geometry as POSCAR:
```
Ba2Ac4Sb3N2
1.0
-2.602 2.602 13.898
2.602 -2.602 13.898
2.602 2.602 -13.898
Ba Ac Sb N
2 4 3 2
Cartesian
0.000 0.000 5.449
0.000 0.000 22.347
2.602 0.000 2.309
2.602 0.000 11.589
0.000 2.602 2.309
0.000 2.602 11.589
0.000 0.000 9.157
0.000 0.000 13.898
0.000 0.000 18.639
0.000 0.000 2.707
0.000 0.000 25.090
```

- Fermi-level density of states: 3.8 states/eV per cell
- Energy: -60.961 eV for the cell shown
- ρ: 6.95 g/cm3



# 3
BaAcSeN: optimized geometry, PBE.

Geometry as POSCAR:
```
BaAcSeN
1.0
2.026 1.170 7.737
-2.026 1.170 7.737
0.000 -2.339 7.737
Ba Ac Se N
1 1 1 1
Cartesian
0.000 0.000 0.000
0.000 0.000 19.876
0.000 0.000 9.887
0.000 0.000 13.374
```

- Energy: -22.738 eV for the cell shown
- ρ: 6.90 g/cm3



# 4
BaAc2SnN4: optimized geometry, PBE.

Geometry as POSCAR:
```
BaAc2SnN4
1.0
1.905 -6.622 0.000
1.905 6.622 0.000
0.000 0.000 13.125
Ba Ac Sn N
2 4 2 8
Cartesian
1.905 5.364 9.844
1.905 -5.364 3.281
1.905 1.711 7.060
1.905 1.711 12.628
1.905 -1.711 0.497
1.905 -1.711 6.065
1.905 4.295 3.281
1.905 -4.295 9.844
0.000 0.000 0.000
0.000 0.000 6.563
1.905 3.137 1.580
1.905 3.137 4.982
1.905 1.091 9.844
1.905 -1.091 3.281
1.905 -3.137 8.143
1.905 -3.137 11.545
```

- Fermi-level density of states: 4.6 states/eV per cell
- Energy: -105.272 eV for the cell shown
- ρ: 7.68 g/cm3



# 5
BaAcTcN3: optimized geometry, PBE.

Geometry as POSCAR:
```
BaAcTcN3
1.0
6.351 0.000 0.000
-3.176 5.500 0.000
0.000 0.000 7.428
Ba Ac Tc N
2 2 2 6
Cartesian
0.000 3.667 1.857
3.176 1.833 5.571
0.000 0.000 0.000
0.000 0.000 3.714
0.000 3.667 5.571
3.176 1.833 1.857
0.000 1.828 5.571
-1.592 4.586 5.571
1.583 0.914 1.857
1.592 4.586 5.571
4.768 0.914 1.857
3.176 3.672 1.857
```

- Fermi-level density of states: 6.2 states/eV per cell
- Energy: -90.949 eV for the cell shown
- ρ: 6.45 g/cm3



# 6
BaAcTcN2: optimized geometry, PBE.

Geometry as POSCAR:
```
BaAcTcN2
1.0
5.803 0.000 0.000
0.000 5.757 0.000
-0.011 0.000 7.640
Ba Ac Tc N
2 2 2 4
Cartesian
-0.003 0.007 1.910
-0.009 5.750 5.730
2.893 2.876 5.730
2.899 2.882 1.910
2.901 0.000 0.000
2.896 0.000 3.820
1.769 1.494 7.640
1.774 4.263 3.820
4.017 1.494 3.820
4.023 4.263 0.000
```

- Fermi-level density of states: 3.0 states/eV per cell
- Energy: -69.759 eV for the cell shown
- ρ: 6.38 g/cm3



# 7
Ba2Ac4Te3N2: optimized geometry, PBE.

Geometry as POSCAR:
```
Ba2Ac4Te3N2
1.0
-2.561 2.561 14.035
2.561 -2.561 14.035
2.561 2.561 -14.035
Ba Ac Te N
2 4 3 2
Cartesian
0.000 0.000 5.480
0.000 0.000 22.591
2.561 0.000 2.284
2.561 0.000 11.751
0.000 2.561 2.284
0.000 2.561 11.751
0.000 0.000 9.234
0.000 0.000 14.035
0.000 0.000 18.836
0.000 0.000 2.840
0.000 0.000 25.231
```

- Fermi-level density of states: 6.0 states/eV per cell
- Energy: -58.965 eV for the cell shown
- ρ: 7.18 g/cm3



# 8
BaAc2TiN4: optimized geometry, PBE.

Geometry as POSCAR:
```
BaAc2TiN4
1.0
1.894 -6.576 0.000
1.894 6.576 0.000
0.000 0.000 12.887
Ba Ac Ti N
2 4 2 8
Cartesian
1.894 5.175 9.665
1.894 -5.175 3.222
1.894 1.703 6.973
1.894 1.703 12.357
1.894 -1.703 0.530
1.894 -1.703 5.913
1.894 4.249 3.222
1.894 -4.249 9.665
0.000 0.000 0.000
0.000 0.000 6.443
1.894 3.144 1.693
1.894 3.144 4.750
1.894 1.450 9.665
1.894 -1.450 3.222
1.894 -3.144 8.137
1.894 -3.144 11.193
```

- Energy: -120.779 eV for the cell shown
- ρ: 7.19 g/cm3